! SmDy2Cd2Hg2 PBE optimized geometry; values from VASP
! crystal system: trigonal
! VASP energy: -2.58 eV/atom
! E_form: -247 meV per atom
&SYSTEM
  ibrav = 0, nat = 7, ntyp = 4
/
ATOMIC_SPECIES
Sm 150.36 Sm.upf
Dy 162.50 Dy.upf
Cd 112.41 Cd.upf
Hg 200.59 Hg.upf
CELL_PARAMETERS angstrom
-4.7425 0.3877 1.3661
-1.6069 -2.3401 4.0558
-0.1301 6.4460 6.6890
ATOMIC_POSITIONS angstrom
Sm 0.0000 0.0000 0.0000
Dy -0.8796 3.7683 4.8471
Dy -5.6000 0.7253 7.2638
Cd -4.8218 3.5055 9.1762
Cd -1.6577 0.9882 2.9347
Hg -3.8383 0.1085 4.5845
Hg -2.6412 4.3852 7.5264

=====

! Ca8HgPb2 PBE optimized geometry; values from VASP
! crystal system: orthorhombic
! VASP energy: -2.50 eV/atom
! E_form: -346 meV per atom
&SYSTEM
  ibrav = 0, nat = 11, ntyp = 3
/
ATOMIC_SPECIES
Ca 40.08 Ca.upf
Hg 200.59 Hg.upf
Pb 207.20 Pb.upf
CELL_PARAMETERS angstrom
5.3372 0.0000 -1.6243
-1.1156 6.4543 -3.6657
0.0649 1.2090 9.7938
ATOMIC_POSITIONS angstrom
Ca 2.4363 5.9542 -1.5753
Ca 1.3227 4.7602 4.3460
Ca 0.8279 1.6880 2.7203
Ca -0.2766 1.6006 -0.9090
Ca 3.4585 5.9753 1.7835
Ca 2.9637 2.9031 0.1577
Ca 1.8501 1.7091 6.0790
Ca 4.5631 6.0628 5.4127
Hg 2.6686 0.0000 -0.8122
Pb 0.2581 4.8908 0.8480
Pb 4.0283 2.7725 3.6557

=====

! CaAc4Bi5 PBE optimized geometry; values from VASP
! crystal system: monoclinic
! VASP energy: -4.70 eV/atom
! E_form: -912 meV per atom
&SYSTEM
  ibrav = 0, nat = 10, ntyp = 3
/
ATOMIC_SPECIES
Ca 40.08 Ca.upf
Ac 227.00 Ac.upf
Bi 208.98 Bi.upf
CELL_PARAMETERS angstrom
4.7669 0.0000 -0.9197
-0.3540 6.5992 -1.8349
-0.0053 -0.0201 12.7864
ATOMIC_POSITIONS angstrom
Ca 0.0000 0.0000 0.0000
Ac 1.7688 2.6360 9.1684
Ac 3.5403 5.2868 5.5364
Ac 0.8673 1.2924 4.4954
Ac 2.6387 3.9431 0.8634
Bi 2.8102 0.6350 1.7524
Bi 3.7026 1.9651 6.3777
Bi 0.7050 4.6140 3.6541
Bi -0.1770 3.2996 -0.9175
Bi 1.5973 5.9441 8.2794

=====

! BaHfCd2 PBE optimized geometry; values from VASP
! crystal system: cubic
! VASP energy: -3.15 eV/atom
! E_form: 273 meV per atom
&SYSTEM
  ibrav = 0, nat = 4, ntyp = 3
/
ATOMIC_SPECIES
Hf 178.49 Hf.upf
Ba 137.33 Ba.upf
Cd 112.41 Cd.upf
CELL_PARAMETERS angstrom
0.0000 3.8576 3.8576
3.8576 0.0000 3.8576
3.8576 3.8576 0.0000
ATOMIC_POSITIONS angstrom
Hf 3.8576 3.8576 3.8576
Ba 0.0000 0.0000 0.0000
Cd 1.9288 1.9288 1.9288
Cd 5.7864 5.7864 5.7864

=====

! Cd2CuPb2 PBE optimized geometry; values from VASP
! crystal system: tetragonal
! VASP energy: -2.47 eV/atom
! E_form: 195 meV per atom
&SYSTEM
  ibrav = 0, nat = 10, ntyp = 3
/
ATOMIC_SPECIES
Pb 207.20 Pb.upf
Cu 63.55 Cu.upf
Cd 112.41 Cd.upf
CELL_PARAMETERS angstrom
-0.2447 -7.0276 -0.2203
1.3988 0.1674 -6.8928
5.0543 -0.2080 1.0207
ATOMIC_POSITIONS angstrom
Pb 3.4273 -1.2133 -4.1730
Pb 3.5178 -4.7016 -5.3323
Pb 2.7811 -5.8549 -1.9194
Pb 2.6906 -2.3666 -0.7602
Cu 0.0000 0.0000 0.0000
Cu 0.5770 -3.4301 -3.5566
Cd 1.1043 -2.3234 -5.9422
Cd 0.6997 -5.8709 -4.6617
Cd 0.0497 -4.5368 -1.1709
Cd 0.4543 -0.9892 -2.4514

=====

! La2Tb4Nd7 PBE optimized geometry; values from VASP
! crystal system: trigonal
! VASP energy: -4.59 eV/atom
! E_form: 163 meV per atom
&SYSTEM
  ibrav = 0, nat = 13, ntyp = 3
/
ATOMIC_SPECIES
La 138.91 La.upf
Tb 158.93 Tb.upf
Nd 144.24 Nd.upf
CELL_PARAMETERS angstrom
-1.0695 -6.1509 -0.4810
4.9346 2.5549 -2.8862
7.4536 -2.1441 10.8457
ATOMIC_POSITIONS angstrom
La 0.9319 -3.2490 -1.2827
La 2.9333 -0.3470 -2.0845
Tb 4.5235 -1.3012 6.5821
Tb 2.9302 -0.8429 4.2637
Tb 4.6587 -4.3210 4.1402
Tb 6.6601 -1.4191 3.3384
Nd 8.8930 -0.0530 6.5951
Nd 3.4953 0.4638 1.3645
Nd 0.0000 0.0000 0.0000
Nd 5.1085 -5.5404 8.1111
Nd 1.2756 -2.7546 2.2537
Nd 4.1073 -2.7473 0.3091
Nd 7.2115 -2.9928 7.1695

=====

! Pm5Y5Er PBE optimized geometry; values from VASP
! crystal system: hexagonal
! VASP energy: -5.19 eV/atom
! E_form: 318 meV per atom
&SYSTEM
  ibrav = 0, nat = 11, ntyp = 3
/
ATOMIC_SPECIES
Pm 145.00 Pm.upf
Y 88.91 Y.upf
Er 167.26 Er.upf
CELL_PARAMETERS angstrom
-1.1209 -0.8799 5.9869
5.7550 -0.3968 -2.1439
1.4929 11.2269 1.9295
ATOMIC_POSITIONS angstrom
Pm 1.3445 5.2463 2.6381
Pm 0.3933 2.9574 0.5083
Pm 3.6121 4.6216 4.5186
Pm 0.7960 4.8158 5.5676
Pm 1.0996 8.2695 1.4212
Y 1.4089 1.0700 3.5841
Y 2.4261 8.7192 4.8987
Y 3.9359 2.9979 1.1775
Y 4.4831 7.1133 1.8848
Y 0.0000 0.0000 0.0000
Er 3.4630 -0.5578 0.5664

=====

! La2CdIn2Rh5 PBE optimized geometry; values from VASP
! crystal system: tetragonal
! VASP energy: -5.68 eV/atom
! E_form: -378 meV per atom
&SYSTEM
  ibrav = 0, nat = 20, ntyp = 4
/
ATOMIC_SPECIES
La 138.91 La.upf
Cd 112.41 Cd.upf
In 114.82 In.upf
Rh 102.91 Rh.upf
CELL_PARAMETERS angstrom
-3.1134 1.1000 -1.6964
-5.3593 -7.4168 5.0267
-1.8997 6.6648 7.8083
ATOMIC_POSITIONS angstrom
La -3.9181 -3.8367 4.7031
La -3.3409 3.0847 8.1320
La -1.5401 0.9300 3.4296
La -5.7189 -1.6819 9.4055
Cd 0.0000 0.0000 0.0000
Cd -3.6295 -0.3760 6.4175
In -1.8823 3.2358 5.5529
In -5.3767 -3.9878 7.2821
In -5.0237 1.1475 9.9644
In -2.2352 -1.8995 2.8707
Rh -2.7345 -0.6924 0.5079
Rh -7.6378 1.0405 10.6308
Rh -3.2904 5.5393 5.5691
Rh -6.2056 -1.6243 6.2742
Rh -7.0819 -5.1912 5.5696
Rh -4.1668 1.9724 4.8645
Rh -5.7991 1.2310 7.3797
Rh -4.5733 -0.8829 3.7591
Rh -4.2363 -3.1584 1.6652
Rh -2.5065 3.8824 3.0560

=====

! RbCu2Ag2 PBE optimized geometry; values from VASP
! crystal system: tetragonal
! VASP energy: -2.64 eV/atom
! E_form: 330 meV per atom
&SYSTEM
  ibrav = 0, nat = 5, ntyp = 3
/
ATOMIC_SPECIES
Cu 63.55 Cu.upf
Rb 85.47 Rb.upf
Ag 107.87 Ag.upf
CELL_PARAMETERS angstrom
-2.6214 -0.4518 3.8477
3.8738 -0.3634 2.5965
0.6811 4.8885 3.8814
ATOMIC_POSITIONS angstrom
Cu -0.6571 2.0145 5.4756
Cu 2.5905 2.0587 4.8500
Rb 0.0000 0.0000 0.0000
Ag 0.6413 1.0509 3.4037
Ag 1.2921 3.0223 6.9219

=====

! CsCoBi PBE optimized geometry; values from VASP
! crystal system: tetragonal
! VASP energy: -3.85 eV/atom
! E_form: 92 meV per atom
&SYSTEM
  ibrav = 0, nat = 6, ntyp = 3
/
ATOMIC_SPECIES
Cs 132.91 Cs.upf
Co 58.93 Co.upf
Bi 208.98 Bi.upf
CELL_PARAMETERS angstrom
-1.3576 2.6405 3.2206
-3.1876 -2.8388 0.9838
7.5317 -5.7291 7.8718
ATOMIC_POSITIONS angstrom
Cs 4.3796 -5.9632 6.7351
Cs 0.8795 0.1349 3.2389
Co 3.7658 -2.8646 3.9359
Co 1.4932 -2.9637 6.0381
Bi 1.3249 -3.6396 3.5424
Bi 3.9342 -2.1887 6.4316

=====

! NbAl2Pd PBE optimized geometry; values from VASP
! crystal system: tetragonal
! VASP energy: -6.29 eV/atom
! E_form: -601 meV per atom
&SYSTEM
  ibrav = 0, nat = 4, ntyp = 3
/
ATOMIC_SPECIES
Nb 92.91 Nb.upf
Al 26.98 Al.upf
Pd 106.42 Pd.upf
CELL_PARAMETERS angstrom
2.9190 0.0000 0.0000
0.0000 2.9190 0.0000
0.0000 0.0000 7.3734
ATOMIC_POSITIONS angstrom
Nb 1.4595 1.4595 3.6867
Al 0.0000 0.0000 5.7046
Al 0.0000 0.0000 1.6688
Pd 1.4595 1.4595 0.0000

=====

! SbPbI2O PBE optimized geometry; values from VASP
! crystal system: tetragonal
! VASP energy: -3.08 eV/atom
&SYSTEM
  ibrav = 0, nat = 5, ntyp = 4
/
ATOMIC_SPECIES
Pb 207.20 Pb.upf
I 126.90 I.upf
O 16.00 O.upf
Sb 121.76 Sb.upf
CELL_PARAMETERS angstrom
-1.3560 -3.5618 3.7060
4.1034 1.5582 2.9989
-2.7623 3.2352 2.0987
ATOMIC_POSITIONS angstrom
Pb -0.0074 0.6158 4.4018
I 2.0517 0.7791 1.4995
I -0.6780 -1.7809 1.8530
O 0.0000 0.0000 0.0000
Sb -1.3811 1.6176 1.0493

=====

! Ba8Tc PBE optimized geometry; values from VASP
! crystal system: tetragonal
! VASP energy: -2.48 eV/atom
! E_form: 379 meV per atom
&SYSTEM
  ibrav = 0, nat = 9, ntyp = 2
/
ATOMIC_SPECIES
Ba 137.33 Ba.upf
Tc 98.00 Tc.upf
CELL_PARAMETERS angstrom
-7.2813 7.2813 2.2964
7.2813 -7.2813 2.2964
7.2813 7.2813 -2.2964
ATOMIC_POSITIONS angstrom
Ba -1.9789 1.9789 2.2964
Ba 1.9789 -1.9789 2.2964
Ba 9.7075 0.0000 0.0000
Ba 5.3024 5.3024 0.0000
Ba 0.0000 9.7075 0.0000
Ba 1.9789 1.9789 2.2964
Ba 4.8551 0.0000 0.0000
Ba 0.0000 4.8551 0.0000
Tc 0.0000 0.0000 0.0000

=====

! TaSe5 PBE optimized geometry; values from VASP
! crystal system: orthorhombic
! VASP energy: -4.75 eV/atom
&SYSTEM
  ibrav = 0, nat = 6, ntyp = 2
/
ATOMIC_SPECIES
Ta 180.95 Ta.upf
Se 78.96 Se.upf
CELL_PARAMETERS angstrom
-4.3880 0.9379 -5.5535
2.6255 -4.9520 4.4227
-3.6525 0.7549 3.0134
ATOMIC_POSITIONS angstrom
Ta 2.5778 -4.9120 4.3549
Se -5.1067 0.3852 -2.4713
Se -1.6281 -1.3799 -1.6277
Se -2.1408 -2.1055 1.7474
Se 0.0722 -2.8078 0.7909
Se 0.1348 -4.0166 4.9844

=====

! Sc2InCu PBE optimized geometry; values from VASP
! crystal system: tetragonal
! VASP energy: -4.69 eV/atom
! E_form: 186 meV per atom
&SYSTEM
  ibrav = 0, nat = 4, ntyp = 3
/
ATOMIC_SPECIES
Sc 44.96 Sc.upf
In 114.82 In.upf
Cu 63.55 Cu.upf
CELL_PARAMETERS angstrom
3.5940 6.6657 -1.8080
-4.3148 -6.2608 -1.6741
-6.0384 -4.1680 2.6045
ATOMIC_POSITIONS angstrom
Sc -1.8766 -1.8903 0.1686
Sc -8.4766 -8.5385 0.7617
In -5.1766 -5.2144 0.4652
Cu 0.0000 0.0000 0.0000

=====

! FeRe2Rh PBE optimized geometry; values from VASP
! crystal system: orthorhombic
! VASP energy: -10.14 eV/atom
! E_form: 41 meV per atom
&SYSTEM
  ibrav = 0, nat = 4, ntyp = 3
/
ATOMIC_SPECIES
Fe 55.84 Fe.upf
Re 186.21 Re.upf
Rh 102.91 Rh.upf
CELL_PARAMETERS angstrom
-1.4479 -0.3680 -4.4126
4.0005 -2.3178 0.5717
-1.3736 -2.2142 0.6354
ATOMIC_POSITIONS angstrom
Fe 1.3134 -2.2660 0.6036
Re 0.0000 0.0000 0.0000
Re 1.2763 -1.3429 -1.9204
Rh -1.4108 -1.2911 -1.8886

=====

! NaTl2IrO4 PBE optimized geometry; values from VASP
! crystal system: orthorhombic
! VASP energy: -5.05 eV/atom
&SYSTEM
  ibrav = 0, nat = 16, ntyp = 4
/
ATOMIC_SPECIES
Na 22.99 Na.upf
Tl 204.38 Tl.upf
Ir 192.22 Ir.upf
O 16.00 O.upf
CELL_PARAMETERS angstrom
6.3432 0.0000 0.0000
3.1716 6.1745 0.0000
3.1716 0.0000 10.3231
ATOMIC_POSITIONS angstrom
Na 7.9290 3.0873 5.1616
Na 0.0000 0.0000 0.0000
Tl 3.1716 0.0000 6.7376
Tl 6.3432 0.0000 3.5855
Tl 7.9290 3.0873 8.7471
Tl 7.9290 3.0873 1.5761
Ir 4.7574 3.0873 5.1616
Ir 3.1716 0.0000 0.0000
O 5.0152 4.8489 0.0210
O 5.0152 1.3256 10.3021
O 10.8428 4.8489 10.3021
O 4.4996 1.3256 0.0210
O 6.0854 4.4129 5.1405
O 6.0854 1.7617 5.1826
O 9.7725 4.4129 5.1826
O 3.4294 1.7617 5.1405

=====

! AcMgCu PBE optimized geometry; values from VASP
! crystal system: hexagonal
! VASP energy: -3.31 eV/atom
! E_form: -47 meV per atom
&SYSTEM
  ibrav = 0, nat = 3, ntyp = 3
/
ATOMIC_SPECIES
Ac 227.00 Ac.upf
Mg 24.30 Mg.upf
Cu 63.55 Cu.upf
CELL_PARAMETERS angstrom
4.0321 0.0000 0.0000
0.0000 4.8073 0.0000
0.0000 -2.4037 4.1633
ATOMIC_POSITIONS angstrom
Ac 2.6881 2.4037 1.3878
Mg 0.6717 0.0000 2.7755
Cu 0.6722 0.0000 0.0000

=====

! Nd5Er4Cd PBE optimized geometry; values from VASP
! crystal system: tetragonal
! VASP energy: -4.34 eV/atom
! E_form: -41 meV per atom
&SYSTEM
  ibrav = 0, nat = 10, ntyp = 3
/
ATOMIC_SPECIES
Nd 144.24 Nd.upf
Er 167.26 Er.upf
Cd 112.41 Cd.upf
CELL_PARAMETERS angstrom
-3.4942 0.1336 -0.9688
-0.9780 -0.4874 3.4600
-0.0182 24.1275 3.3937
ATOMIC_POSITIONS angstrom
Nd -2.2377 1.9550 1.5455
Nd -2.2415 6.9321 2.2455
Nd -2.2452 11.8869 2.9424
Nd -2.2489 16.8417 3.6394
Nd -2.2527 21.8187 4.3394
Er -0.0035 4.6255 0.6506
Er -0.0072 9.5833 1.3480
Er -0.0110 14.5442 2.0457
Er -0.0147 19.5020 2.7431
Cd 0.0000 0.0000 0.0000

=====

! Ag2SnHg PBE optimized geometry; values from VASP
! crystal system: trigonal
! VASP energy: -2.40 eV/atom
! E_form: 99 meV per atom
&SYSTEM
  ibrav = 0, nat = 4, ntyp = 3
/
ATOMIC_SPECIES
Ag 107.87 Ag.upf
Sn 118.71 Sn.upf
Hg 200.59 Hg.upf
CELL_PARAMETERS angstrom
-1.4481 2.2398 -1.9117
-1.7509 -0.9530 -2.6067
-8.7104 0.0024 3.7842
ATOMIC_POSITIONS angstrom
Ag -6.8158 0.1081 2.4730
Ag -2.9628 0.3231 -0.1936
Sn -5.9547 0.6446 -0.3671
Hg -10.8410 0.8604 0.7705

=====

! CeScBi PBE optimized geometry; values from VASP
! crystal system: tetragonal
! VASP energy: -5.91 eV/atom
! E_form: -528 meV per atom
&SYSTEM
  ibrav = 0, nat = 6, ntyp = 3
/
ATOMIC_SPECIES
Ce 140.12 Ce.upf
Sc 44.96 Sc.upf
Bi 208.98 Bi.upf
CELL_PARAMETERS angstrom
4.4587 0.0000 -0.3890
0.0000 4.4816 0.0000
0.7451 0.0000 8.5741
ATOMIC_POSITIONS angstrom
Ce 3.9798 1.1204 7.0126
Ce 1.2240 3.3612 1.1724
Sc 1.4874 1.1204 4.1914
Sc 3.7165 3.3612 3.9937
Bi 3.5245 1.1204 1.7957
Bi 1.6793 3.3612 6.3894

=====

! Al2IrBr PBE optimized geometry; values from VASP
! crystal system: tetragonal
! VASP energy: -4.23 eV/atom
&SYSTEM
  ibrav = 0, nat = 4, ntyp = 3
/
ATOMIC_SPECIES
Ir 192.22 Ir.upf
Al 26.98 Al.upf
Br 79.90 Br.upf
CELL_PARAMETERS angstrom
-2.1002 -0.7975 -4.2373
-0.1655 -4.7827 -0.3174
-1.5175 2.7947 3.5901
ATOMIC_POSITIONS angstrom
Ir -2.3753 -0.3964 -1.4623
Al 0.0000 0.0000 0.0000
Al -1.1329 -2.7901 -2.2774
Br -1.4079 -2.3890 0.4977

=====

! LiBRh2 PBE optimized geometry; values from VASP
! crystal system: tetragonal
! VASP energy: -5.97 eV/atom
! E_form: -142 meV per atom
&SYSTEM
  ibrav = 0, nat = 4, ntyp = 3
/
ATOMIC_SPECIES
B 10.81 B.upf
Rh 102.91 Rh.upf
Li 6.94 Li.upf
CELL_PARAMETERS angstrom
-2.0148 1.6328 1.0279
-0.4510 -2.4470 3.0030
2.6593 2.0027 2.0313
ATOMIC_POSITIONS angstrom
B -1.0074 0.8164 0.5139
Rh 1.3297 1.0014 1.0156
Rh -0.2255 -1.2235 1.5015
Li 0.0968 0.5943 3.0311

=====

! Ho2Pt2Rh PBE optimized geometry; values from VASP
! crystal system: orthorhombic
! VASP energy: -6.61 eV/atom
! E_form: -892 meV per atom
&SYSTEM
  ibrav = 0, nat = 10, ntyp = 3
/
ATOMIC_SPECIES
Ho 164.93 Ho.upf
Pt 195.08 Pt.upf
Rh 102.91 Rh.upf
CELL_PARAMETERS angstrom
-3.2478 0.6747 -4.5784
3.0206 -4.4727 -2.8019
-3.8947 -2.2097 5.9280
ATOMIC_POSITIONS angstrom
Ho -2.0236 -3.8237 0.8720
Ho -2.0983 -2.1841 -2.3242
Ho 0.9218 -4.5890 -1.3302
Ho -5.0437 -1.4188 -0.1220
Pt -3.7944 -4.2822 -1.4303
Pt -0.3275 -1.7255 -0.0220
Pt -0.0401 -4.2184 -4.0841
Pt -4.0818 -1.7894 2.6318
Rh -0.9256 -1.7303 -4.8347
Rh 0.6983 -2.0677 -2.5455

=====

! Ba2SnAu2 PBE optimized geometry; values from VASP
! crystal system: tetragonal
! VASP energy: -3.41 eV/atom
! E_form: -526 meV per atom
&SYSTEM
  ibrav = 0, nat = 5, ntyp = 3
/
ATOMIC_SPECIES
Au 196.97 Au.upf
Ba 137.33 Ba.upf
Sn 118.71 Sn.upf
CELL_PARAMETERS angstrom
4.0406 0.0000 0.0000
0.0000 4.0406 0.0000
2.0203 2.0203 10.0317
ATOMIC_POSITIONS angstrom
Au 4.0406 2.0203 5.0159
Au 2.0203 4.0406 5.0159
Ba 2.0203 2.0203 2.2757
Ba 4.0405 4.0405 7.7560
Sn 0.0000 0.0000 0.0000